(1)
Here is Zr3VTc after structural relaxation from the Alexandria database. Energies are from PBE-GGA.

Lattice parameters (Å, degrees): 4.7909 4.7909 4.7909 90.00 90.00 90.00
Space group Pm-3m (No. 221)
One atom of each set of equivalent atoms:
Zr1 0.0000 0.0000 0.5000 [3 per cell]
V1 0.0000 0.0000 0.0000 [1 per cell]
Tc1 0.5000 0.5000 0.5000 [1 per cell]

Properties
Distance to the lowest polymorph of the same formula ... 200.3 meV/atom
E_tot ... -40.4 eV per cell
Energy of formation ... 947.8 meV/atom

(2)
Here is ZrV4Tc5 after structural relaxation from the Alexandria database. Energies are from PBE-GGA.

Lattice parameters (Å, degrees): 3.0688 3.0688 15.5566 90.00 90.00 90.00
Space group P4/mmm (No. 123)
One atom of each set of equivalent atoms:
Zr1 0.0000 0.0000 0.0000 [1 per cell]
V1 0.0000 0.0000 0.2088 [2 per cell]
V2 0.0000 0.0000 0.4030 [2 per cell]
Tc1 0.5000 0.5000 0.1164 [2 per cell]
Tc2 0.5000 0.5000 0.3077 [2 per cell]
Tc3 0.5000 0.5000 0.5000 [1 per cell]

Properties
E_tot ... -100.2 eV per cell
Energy of formation ... -333.4 meV/atom

(3)
Here is Zr2VTc after structural relaxation from the Alexandria database. Energies are from PBE-GGA.

Lattice parameters (Å, degrees): 6.6621 6.6621 6.6621 90.00 90.00 90.00
Space group Fm-3m (No. 225)
One atom of each set of equivalent atoms:
Zr1 0.2500 0.2500 0.2500 [8 per cell]
V1 0.0000 0.0000 0.0000 [4 per cell]
Tc1 0.0000 0.0000 0.5000 [4 per cell]

Properties
Distance to the lowest polymorph of the same formula ... 0.0 meV/atom
E_tot ... -148.1 eV per cell
Energy of formation ... -111.8 meV/atom

(4)
Here is TcW2 after structural relaxation from the Alexandria database. Energies are from PBE-GGA.

Lattice parameters (Å, degrees): 2.6871 4.2373 18.2948 90.00 90.00 90.00
Space group Imma (No. 74)
One atom of each set of equivalent atoms:
Tc1 0.0000 0.2500 0.1105 [4 per cell]
W1 0.0000 0.2500 0.5412 [4 per cell]
W2 0.0000 0.2500 0.6844 [4 per cell]

Properties
Distance to the lowest polymorph of the same formula ... 702.8 meV/atom
E_tot ... -136.1 eV per cell
Energy of formation ... 750.0 meV/atom